## PaFe2Tc (PBE)

Data for a relaxed PaFe2Tc crystal.

Cell and atoms, written as CIF:
```
data_PaFe2Tc
_chemical_formula_sum 'Pa1 Fe2 Tc1'
_cell_length_a 2.867
_cell_length_b 2.867
_cell_length_c 7.199
_cell_angle_alpha 90.00
_cell_angle_beta 90.00
_cell_angle_gamma 90.00
_space_group_name_H-M_alt 'P 4/m m m'
_space_group_IT_number 123
_space_group_name_Hall '-P 4 2'
loop_
_atom_site_label
_atom_site_type_symbol
_atom_site_fract_x
_atom_site_fract_y
_atom_site_fract_z
Pa1 Pa 0.000 0.000 0.000
Fe1 Fe 0.500 0.500 0.286
Tc1 Tc 0.000 0.000 0.500
```

N(E_F) = 4.10 states/eV per cell
Formation energy from the elements = 0.119 eV per atom
Crystal system = tetragonal
Electronic total energy = -9.078 eV/atom
Energy above the lowest structure with this stoichiometry = 0.079 eV per atom

=====

## CaTcPb2 (PBE)

Data for a relaxed CaTcPb2 crystal.

Cell and atoms, written as CIF:
```
data_CaTcPb2
_chemical_formula_sum 'Ca1 Tc1 Pb2'
_cell_length_a 3.843
_cell_length_b 4.689
_cell_length_c 5.279
_cell_angle_alpha 90.00
_cell_angle_beta 90.00
_cell_angle_gamma 90.00
_space_group_name_H-M_alt 'P m m m'
_space_group_IT_number 47
loop_
_space_group_symop_operation_xyz
'x,y,z'
'-x,-y,-z'
'-x,-y,z'
'x,y,-z'
'x,-y,-z'
'-x,y,z'
'-x,y,-z'
'x,-y,z'
loop_
_atom_site_label
_atom_site_type_symbol
_atom_site_fract_x
_atom_site_fract_y
_atom_site_fract_z
Ca1 Ca 0.000 0.000 0.000
Tc1 Tc 0.500 0.000 0.500
Pb1 Pb 0.000 0.500 0.500
Pb2 Pb 0.500 0.500 0.000
```

N(E_F) = 3.09 states/eV per cell
Formation energy from the elements = 0.386 eV per atom
Crystal system = orthorhombic
Electronic total energy = -4.560 eV/atom
Energy above the lowest structure with this stoichiometry = 0.263 eV per atom

=====

## Ac6Ni3Sn (PBE)

Data for a relaxed Ac6Ni3Sn crystal.

Cell and atoms, written as CIF:
```
data_Ac6Ni3Sn
_chemical_formula_sum 'Ac12 Ni6 Sn2'
_cell_length_a 12.511
_cell_length_b 4.438
_cell_length_c 12.759
_cell_angle_alpha 90.00
_cell_angle_beta 109.01
_cell_angle_gamma 90.00
_space_group_name_H-M_alt 'P 1 21/m 1'
_space_group_IT_number 11
loop_
_space_group_symop_operation_xyz
'x,y,z'
'-x,-y,-z'
'-x,y+1/2,-z'
'x,-y+1/2,z'
loop_
_atom_site_label
_atom_site_type_symbol
_atom_site_fract_x
_atom_site_fract_y
_atom_site_fract_z
Ac1 Ac 0.026 0.250 0.389
Ac2 Ac 0.113 0.250 0.948
Ac3 Ac 0.210 0.750 0.260
Ac4 Ac 0.298 0.750 0.760
Ac5 Ac 0.365 0.250 0.537
Ac6 Ac 0.419 0.750 0.085
Ni1 Ni 0.044 0.250 0.162
Ni2 Ni 0.177 0.750 0.496
Ni3 Ni 0.347 0.250 0.915
Sn1 Sn 0.441 0.250 0.303
```

N(E_F) = 16.98 states/eV per cell
Formation energy from the elements = -0.262 eV per atom
Crystal system = monoclinic
Electronic total energy = -4.862 eV/atom

=====

## Tl2InCl8 (PBE)

Data for a relaxed Tl2InCl8 crystal.

Cell and atoms, written as CIF:
```
data_Tl2InCl8
_chemical_formula_sum 'Tl4 In2 Cl16'
_cell_length_a 16.990
_cell_length_b 7.005
_cell_length_c 6.659
_cell_angle_alpha 90.00
_cell_angle_beta 95.51
_cell_angle_gamma 90.00
_space_group_name_H-M_alt 'C 1 2/m 1'
_space_group_IT_number 12
loop_
_space_group_symop_operation_xyz
'x,y,z'
'-x,-y,-z'
'-x,y,-z'
'x,-y,z'
'x+1/2,y+1/2,z'
'-x+1/2,-y+1/2,-z'
'-x+1/2,y+1/2,-z'
'x+1/2,-y+1/2,z'
loop_
_atom_site_label
_atom_site_type_symbol
_atom_site_fract_x
_atom_site_fract_y
_atom_site_fract_z
Tl1 Tl 0.151 0.000 0.462
In1 In 0.000 0.000 0.000
Cl1 Cl 0.056 0.251 0.248
Cl2 Cl 0.136 0.000 0.851
Cl3 Cl 0.207 0.500 0.604
```

Formation energy without anion corrections = -0.75 eV per atom
N(E_F) = 13.03 states/eV per cell
Crystal system = monoclinic
Electronic total energy = -2.767 eV/atom

=====

## YSbSe2N (PBE)

Data for a relaxed YSbSe2N crystal.

Cell and atoms, written as CIF:
```
data_YSbSe2N
_chemical_formula_sum 'Y1 Sb1 Se2 N1'
_cell_length_a 5.349
_cell_length_b 5.349
_cell_length_c 4.011
_cell_angle_alpha 90.00
_cell_angle_beta 90.00
_cell_angle_gamma 90.00
_space_group_name_H-M_alt 'P 4/m m m'
_space_group_IT_number 123
_space_group_name_Hall '-P 4 2'
loop_
_atom_site_label
_atom_site_type_symbol
_atom_site_fract_x
_atom_site_fract_y
_atom_site_fract_z
Y1 Y 0.000 0.000 0.000
Sb1 Sb 0.500 0.500 0.500
Se1 Se 0.000 0.500 0.500
N1 N 0.500 0.500 0.000
```

Formation energy without anion corrections = -0.02 eV per atom
N(E_F) = 1.91 states/eV per cell
Crystal system = tetragonal
Electronic total energy = -5.199 eV/atom
Energy above the lowest structure with this stoichiometry = 0.000 eV per atom

=====

## Y7HoEr3 (PBE)

Data for a relaxed Y7HoEr3 crystal.

Cell and atoms, written as CIF:
```
data_Y7HoEr3
_chemical_formula_sum 'Y14 Ho2 Er6'
_cell_length_a 12.528
_cell_length_b 11.235
_cell_length_c 5.775
_cell_angle_alpha 90.00
_cell_angle_beta 117.39
_cell_angle_gamma 90.00
_space_group_name_H-M_alt 'C 1 2/m 1'
_space_group_IT_number 12
loop_
_space_group_symop_operation_xyz
'x,y,z'
'-x,-y,-z'
'-x,y,-z'
'x,-y,z'
'x+1/2,y+1/2,z'
'-x+1/2,-y+1/2,-z'
'-x+1/2,y+1/2,-z'
'x+1/2,-y+1/2,z'
loop_
_atom_site_label
_atom_site_type_symbol
_atom_site_fract_x
_atom_site_fract_y
_atom_site_fract_z
Y1 Y 0.000 0.000 0.000
Y2 Y 0.196 0.297 0.696
Y3 Y 0.206 0.500 0.205
Ho1 Ho 0.000 0.000 0.500
Er1 Er 0.000 0.293 0.000
Er2 Er 0.000 0.500 0.500
```

N(E_F) = 32.01 states/eV per cell
Formation energy from the elements = 0.270 eV per atom
Crystal system = monoclinic
Electronic total energy = -5.505 eV/atom
Energy above the lowest structure with this stoichiometry = 0.122 eV per atom

=====

## Tl6In12Ga (PBE)

Data for a relaxed Tl6In12Ga crystal.

Cell and atoms, written as CIF:
```
data_Tl6In12Ga
_chemical_formula_sum 'Tl18 In36 Ga3'
_cell_length_a 13.1175
_cell_length_b 13.1175
_cell_length_c 11.0722
_cell_angle_alpha 90.00
_cell_angle_beta 90.00
_cell_angle_gamma 120.00
_space_group_name_H-M_alt 'R -3'
_space_group_IT_number 148
_space_group_name_Hall '-R 3'
loop_
_atom_site_label
_atom_site_type_symbol
_atom_site_fract_x
_atom_site_fract_y
_atom_site_fract_z
Tl1 Tl 0.0614 0.1698 0.2482
In1 In 0.0141 0.2511 0.5220
In2 In 0.0666 0.5074 0.6196
Ga1 Ga 0.0000 0.0000 0.5000
```

N(E_F) = 30.10 states/eV per cell
Formation energy from the elements = 0.052 eV per atom
Crystal system = trigonal
Electronic total energy = -2.584 eV/atom

=====

## Sc3MnBi (PBE)

Data for a relaxed Sc3MnBi crystal.

Cell and atoms, written as CIF:
```
data_Sc3MnBi
_chemical_formula_sum 'Sc3 Mn1 Bi1'
_cell_length_a 4.861
_cell_length_b 4.861
_cell_length_c 4.861
_cell_angle_alpha 90.00
_cell_angle_beta 90.00
_cell_angle_gamma 90.00
_space_group_name_H-M_alt 'P m -3 m'
_space_group_IT_number 221
_space_group_name_Hall '-P 4 2 3'
loop_
_atom_site_label
_atom_site_type_symbol
_atom_site_fract_x
_atom_site_fract_y
_atom_site_fract_z
Sc1 Sc 0.000 0.000 0.500
Mn1 Mn 0.000 0.000 0.000
Bi1 Bi 0.500 0.500 0.500
```

N(E_F) = 4.53 states/eV per cell
Formation energy from the elements = -0.013 eV per atom
Crystal system = cubic
Electronic total energy = -6.422 eV/atom
Energy above the lowest structure with this stoichiometry = 0.000 eV per atom

=====

Which formula does entry 7 have? Tl6In12Ga

=====

N(E_F) of number 7 (Tl6In12Ga)? 30.10 states/eV per cell

=====

electronic total energy of number 1 (PaFe2Tc)? -9.078 eV/atom

=====

N(E_F) of number 4 (Tl2InCl8)? 13.03 states/eV per cell